## Nd2DyTe (PBE)

Data for crystalline Nd2DyTe at its relaxed geometry.

The value obtained for the energy above the lowest structure with this stoichiometry is 0.13 eV/f.u. The total magnetic moment is 0.97 μB/cell. For the energy relative to the elements, uncorrected, the calculation gives -0.54 eV/atom.

The structure belongs to space group R3m (No. 160, hexagonal axes); the cell edges are 4.0028, 4.0028 and 29.6916 Å and the angles 90.00°, 90.00° and 120.00°. The distinct sites, in fractional coordinates, are Nd at (0.0000, 0.0000, 0.0000), Nd at (0.0000, 0.0000, 0.1879), Dy at (0.0000, 0.0000, 0.4269) and Te at (0.0000, 0.0000, 0.5941).